# Al2CdTc GGA-PBE optimized geometry
# V ... 16.4 Å³ per atom
# Density of states at the Fermi level ... 14.81 states/eV/cell
# DFT formation energy ... 26.6 kJ/mol of atoms
data_Al2CdTc
_cell_length_a 6.397
_cell_length_b 6.397
_cell_length_c 6.397
_cell_angle_alpha 90.00
_cell_angle_beta 90.00
_cell_angle_gamma 90.00
_symmetry_space_group_name_H-M 'F -4 3 m'
_symmetry_Int_Tables_number 216
_symmetry_space_group_name_Hall 'F -4 2 3'
loop_
_atom_site_label
_atom_site_type_symbol
_atom_site_fract_x
_atom_site_fract_y
_atom_site_fract_z
Al1 Al 0.000 0.000 0.000
Al2 Al 0.250 0.250 0.250
Cd1 Cd 0.250 0.250 0.750
Tc1 Tc 0.000 0.000 0.500